(1)
Material: TlNiRu3
Method: DFT, GGA-PBEsol
State: optimized geometry

Summary:
The total magnetic moment comes out at 6.587 μB per formula unit. The calculation puts the calculated volume at 23.02 Å³/atom. The formation energy is 2.91 eV per atom. As for the space-group type: Pm-3m, No. 221. The calculation puts the raw total energy at -24.74 eV/cell. As for the density of states at the Fermi level: 1.63 states/eV per atom.

Unit cell a=4.8641 b=4.8641 c=4.8641 alpha=90.00 beta=90.00 gamma=90.00
With the nearest neighbours (Å) after each atom.
Element x y z (fractional)
1 Tl 0.0000 0.0000 0.0000  6 Ru 2.43
2 Ru 0.0000 0.5000 0.0000  2 Tl 2.43
3 Ru 0.5000 0.0000 0.0000  2 Tl 2.43
4 Ni 0.5000 0.5000 0.5000  12 Ru 3.44
5 Ru 0.0000 0.0000 0.5000  2 Tl 2.43

***

(2)
Material: Tl3NiRu
Method: DFT, GGA-PBEsol
State: optimized geometry

Summary:
The total magnetic moment comes out at 1.004 μB per formula unit. The calculation puts the calculated volume at 27.12 Å³/atom. The formation energy is 0.98 eV per atom. As for the space-group type: Pm-3m, No. 221. The calculation puts the raw total energy at -19.32 eV/cell. As for the density of states at the Fermi level: 2.60 states/eV per atom.

Unit cell a=5.1374 b=5.1374 c=5.1374 alpha=90.00 beta=90.00 gamma=90.00
With the nearest neighbours (Å) after each atom.
Element x y z (fractional)
1 Ru 0.0000 0.0000 0.0000  6 Tl 2.57
2 Tl 0.0000 0.5000 0.0000  2 Ru 2.57
3 Tl 0.0000 0.0000 0.5000  2 Ru 2.57
4 Ni 0.5000 0.5000 0.5000  12 Tl 3.63
5 Tl 0.5000 0.0000 0.0000  2 Ru 2.57

***

(3)
Material: TlNiRu
Method: DFT, GGA-PBEsol
State: optimized geometry

Summary:
The total magnetic moment comes out at 0.011 μB per formula unit. The calculation puts the calculated volume at 15.45 Å³/atom. Its energy above the most stable polymorph in this dataset is 0 kJ/mol of formula units. The formation energy is 0.59 eV per atom. As for the space-group type: P-6m2, No. 187. The calculation puts the raw total energy at -17.19 eV/cell. As for the density of states at the Fermi level: 1.46 states/eV per atom.

Unit cell a=3.0402 b=4.1958 c=4.1958 alpha=120.00 beta=90.00 gamma=90.00
With the nearest neighbours (Å) after each atom.
Element x y z (fractional)
1 Ru 0.8329 0.3333 0.6667  3 Ni 2.42
2 Tl 0.3330 0.6667 0.3333  6 Ni 2.86, 6 Ru 2.86, 2 Tl 3.04
3 Ni 0.8340 0.0000 0.0000  3 Ru 2.42

***

(4)
Material: TlNiRu
Method: DFT, GGA-PBEsol
State: optimized geometry

Summary:
The total magnetic moment comes out at 0.004 μB per formula unit. The calculation puts the calculated volume at 15.45 Å³/atom. Its energy above the most stable polymorph in this dataset is 6 kJ/mol of formula units. The formation energy is 0.61 eV per atom. As for the space-group type: P3m1, No. 156. The calculation puts the raw total energy at -17.13 eV/cell. As for the density of states at the Fermi level: 1.17 states/eV per atom.

Unit cell a=2.9058 b=2.9058 c=6.3400 alpha=90.00 beta=90.00 gamma=120.00
With the nearest neighbours (Å) after each atom.
Element x y z (fractional)
1 Tl 0.6667 0.3333 0.3247  3 Ni 2.74, 3 Ru 2.88, 6 Tl 2.91
2 Ni 0.0000 0.0000 0.9822  3 Ru 2.48, 3 Tl 2.74
3 Ru 0.3333 0.6667 0.6932  3 Ni 2.48

***

(5)
Material: TlNi2Ru
Method: DFT, GGA-PBEsol
State: optimized geometry

Summary:
The total magnetic moment comes out at 1.669 μB per formula unit. The calculation puts the calculated volume at 13.86 Å³/atom. The formation energy is 0.41 eV per atom. As for the space-group type: I-4m2, No. 119. The calculation puts the raw total energy at -23.49 eV/cell. As for the density of states at the Fermi level: 1.17 states/eV per atom.

Unit cell a=3.8339 b=3.8339 c=4.6439 alpha=114.38 beta=114.38 gamma=90.00
With the nearest neighbours (Å) after each atom.
Element x y z (fractional)
1 Tl 0.2500 0.7500 0.5000  8 Ni 2.69-2.71, 4 Ru 2.69
2 Ru 0.5000 0.5000 0.0000  4 Tl 2.69, 8 Ni 2.69-2.71
3 Ni 0.7500 0.2500 0.5000  4 Ni 2.69, 4 Ru 2.69, 4 Tl 2.71
4 Ni 0.0000 0.0000 0.0000  4 Ni 2.69, 4 Tl 2.69, 4 Ru 2.71

***

(6)
Material: TlNi2Ru
Method: DFT, GGA-PBEsol
State: optimized geometry

Summary:
The total magnetic moment comes out at 1.314 μB per formula unit. The calculation puts the calculated volume at 13.82 Å³/atom. The formation energy is 0.41 eV per atom. As for the space-group type: P4/mmm, No. 123. The calculation puts the raw total energy at -23.49 eV/cell. As for the density of states at the Fermi level: 1.38 states/eV per atom.

Unit cell a=3.7196 b=3.8553 c=3.8553 alpha=90.00 beta=90.00 gamma=90.00
With the nearest neighbours (Å) after each atom.
Element x y z (fractional)
1 Ni 0.0000 0.0000 0.5000  4 Tl 2.68, 4 Ru 2.68, 4 Ni 2.73
2 Ru 0.5000 0.5000 0.5000  8 Ni 2.68, 4 Tl 2.73
3 Ni 0.0000 0.5000 0.0000  4 Tl 2.68, 4 Ru 2.68, 4 Ni 2.73
4 Tl 0.5000 0.0000 0.0000  8 Ni 2.68, 4 Ru 2.73

***

(7)
Material: Ni2RuW
Method: DFT, GGA-PBEsol
State: optimized geometry

Summary:
The total magnetic moment comes out at 0.001 μB per formula unit. The calculation puts the calculated volume at 12.43 Å³/atom. The formation energy is 0.06 eV per atom. As for the space-group type: Cmmm, No. 65. The calculation puts the raw total energy at -36.04 eV/cell. As for the density of states at the Fermi level: 1.20 states/eV per atom.

Unit cell a=2.6366 b=4.4897 c=4.4897 alpha=110.73 beta=90.00 gamma=90.00
With the nearest neighbours (Å) after each atom.
Element x y z (fractional)
1 Ni 0.0000 0.5000 0.0000  4 Ni 2.55-2.64, 4 W 2.60, 4 Ru 2.60
2 Ru 0.5000 0.5000 0.5000  2 W 2.55, 8 Ni 2.60, 2 Ru 2.64
3 Ni 0.0000 0.0000 0.5000  4 Ni 2.55-2.64, 4 Ru 2.60, 4 W 2.60
4 W 0.5000 0.0000 0.0000  2 Ru 2.55, 8 Ni 2.60, 2 W 2.64

***

(8)
Material: NiRuW
Method: DFT, GGA-PBEsol
State: optimized geometry

Summary:
The total magnetic moment comes out at 0.000 μB per formula unit. The calculation puts the calculated volume at 13.22 Å³/atom. The formation energy is 0.03 eV per atom. As for the space-group type: Imm2, No. 44. The calculation puts the raw total energy at -30.05 eV/cell. As for the density of states at the Fermi level: 1.14 states/eV per atom.

Unit cell a=2.6750 b=3.7365 c=4.5847 alpha=114.05 beta=106.96 gamma=90.00
With the nearest neighbours (Å) after each atom.
Element x y z (fractional)
1 Ru 0.6627 0.6627 0.3254  5 W 2.60-2.67, 5 Ni 2.63-2.69, 2 Ru 2.68
2 Ni 0.0022 0.0022 0.0043  5 Ru 2.63-2.69, 5 W 2.64-2.65, 2 Ni 2.68
3 W 0.3351 0.3351 0.6703  5 Ru 2.60-2.67, 5 Ni 2.64-2.65, 2 W 2.68